Cs6Hg3F14 | the Alexandria database | PBE | relaxed; raw total energy = -79.110 eV for the cell shown
1.0
10.492 0.000 0.000
-5.246 9.086 0.000
0.000 0.000 6.538
Cs Hg F
6 3 14
Cartesian
-0.955 2.448 0.000
-2.649 8.690 0.000
2.582 3.805 3.489
5.906 0.334 3.489
3.604 7.035 0.000
7.250 4.948 3.489
0.000 0.000 3.546
0.000 6.058 1.116
5.246 3.029 0.552
0.000 0.000 1.385
-1.684 5.523 6.449
1.239 1.492 4.667
-0.330 4.346 2.357
-1.318 7.199 2.357
1.305 4.866 6.449
3.802 1.744 1.668
0.379 7.784 6.449
1.647 6.628 2.357
5.246 3.029 4.930
4.855 4.922 1.668
7.081 2.421 1.668
8.581 0.327 4.667
5.919 7.268 4.667